[1]
An optimized crystal structure of Zn5Ag4Au3. Source: Alexandria via LeMat-Bulk, functional GGA-PBE.

Lattice parameters (Å, degrees): 12.6839 4.8914 7.6383 90.00 117.89 90.00
With the nearest neighbours (Å) after each atom.
Space group C2/m (No. 12)
Unique sites:
1 Zn 0.0000 0.0000 0.0000 [2 per cell]  4 Au 2.45-2.62, 2 Zn 2.64
2 Zn 0.1743 0.0000 0.3677 [4 per cell]  4 Zn 2.63-2.82, 4 Ag 2.69-2.89, 1 Au 2.71
3 Zn 0.2283 0.5000 0.2437 [4 per cell]  2 Au 2.57-2.61, 3 Zn 2.63-2.82, 4 Ag 2.72-2.86
4 Ag 0.0860 0.5000 0.4317 [4 per cell]  4 Zn 2.69-2.83, 2 Ag 2.83-2.95, 3 Au 2.94-2.95
5 Ag 0.2024 0.5000 0.8690 [4 per cell]  4 Zn 2.72-2.89, 2 Au 2.95, 3 Ag 2.95-3.03
6 Au 0.0000 0.5000 0.0000 [2 per cell]  4 Zn 2.45-2.61
7 Au 0.0581 0.0000 0.7132 [4 per cell]  3 Zn 2.57-2.71, 1 Au 2.88

The energy of formation comes out at 0.00 eV per atom. For the volume, the calculation gives 418.8 Å³/cell. The calculation puts the total energy at -27.6 eV per formula unit.

***

[2]
An optimized crystal structure of ZnAg7Au3. Source: Alexandria via LeMat-Bulk, functional GGA-PBE.

Lattice parameters (Å, degrees): 5.8398 5.8398 6.9296 90.00 90.00 120.00
With the nearest neighbours (Å) after each atom.
Space group P3m1 (No. 156)
Unique sites:
1 Zn 0.0000 0.0000 0.0000 [1 per cell]  3 Au 2.77, 9 Ag 2.91-2.92
2 Ag 0.3333 0.1666 0.3417 [3 per cell]  8 Ag 2.85-2.92, 2 Au 2.89, 1 Zn 2.91
3 Ag 0.3333 0.6667 0.3464 [1 per cell]  3 Au 2.87, 9 Ag 2.90-2.92
4 Ag 0.5025 0.0050 0.0081 [3 per cell]  2 Au 2.84, 7 Ag 2.85-2.96, 2 Zn 2.92
5 Au 0.1654 0.3308 0.6808 [3 per cell]  1 Zn 2.77, 5 Ag 2.84-2.89, 4 Au 2.90-2.94

The energy of formation comes out at 0.02 eV per atom. For the volume, the calculation gives 204.7 Å³/cell. The calculation puts the total energy at -30.9 eV per formula unit.

***

[3]
An optimized crystal structure of Zn7Ag12Au. Source: Alexandria via LeMat-Bulk, functional GGA-PBE.

Lattice parameters (Å, degrees): 10.4819 10.4819 11.4509 90.00 90.00 120.00
With the nearest neighbours (Å) after each atom.
Space group R-3 (No. 148, hexagonal axes)
Unique sites:
1 Zn 0.0000 0.0000 0.0000 [3 per cell]  6 Ag 2.54
2 Zn 0.0046 0.1575 0.6937 [18 per cell]  5 Ag 2.72-2.94, 1 Au 2.75, 2 Zn 2.82
3 Ag 0.0104 0.5530 0.1699 [18 per cell]  3 Zn 2.74-2.94, 5 Ag 2.78-2.98, 1 Au 2.97
4 Ag 0.0747 0.2561 0.9241 [18 per cell]  3 Zn 2.54-2.80, 2 Ag 2.75-2.78
5 Au 0.0000 0.0000 0.5000 [3 per cell]  6 Zn 2.75, 6 Ag 2.97

The energy of formation comes out at 0.07 eV per atom. For the volume, the calculation gives 1089.6 Å³/cell. The calculation puts the total energy at -45.0 eV per formula unit.

***

[4]
An optimized crystal structure of Zn2Ag2Au7. Source: Alexandria via LeMat-Bulk, functional GGA-PBE.

Lattice parameters (Å, degrees): 5.7773 8.3589 8.1407 90.00 95.58 90.00
With the nearest neighbours (Å) after each atom.
Space group C2/m (No. 12)
Unique sites:
1 Zn 0.1974 0.0000 0.3484 [4 per cell]  4 Au 2.62-2.74, 4 Ag 2.78-2.88
2 Ag 0.0000 0.2574 0.5000 [4 per cell]  4 Zn 2.78-2.88, 6 Au 2.89-2.97, 2 Ag 2.89
3 Au 0.0000 0.0000 0.0000 [2 per cell]  10 Au 2.90-3.10, 2 Zn 2.95
4 Au 0.1185 0.3000 0.8498 [8 per cell]  1 Zn 2.62, 4 Au 2.87-2.92, 1 Ag 2.89
5 Au 0.2356 0.5000 0.3139 [4 per cell]  2 Zn 2.66-2.74, 2 Au 2.87, 4 Ag 2.94-2.97

The energy of formation comes out at -0.06 eV per atom. For the volume, the calculation gives 391.3 Å³/cell. The calculation puts the total energy at -31.9 eV per formula unit.